The following is a DFT calculation (GGA-PBE) of a relaxed AcCdCl2 crystal.

extended XYZ file:
```
4
Lattice="4.126 0.000 0.000 2.063 3.573 0.000 2.063 1.191 10.354" Properties=species:S:1:pos:R:3 pbc="T T T"
Cl 2.063 1.191 7.611
Ac 0.000 0.000 0.000
Cl 6.189 3.573 2.742
Cd 4.126 2.382 5.177
```

## Properties
SG: R-3m
V, A^3/atom: 38.161
Mass density, g/cm3: 4.46
Magnetization, μB/f.u.: 0.00
Electronic total energy, eV per cell: -12.2

The following is a DFT calculation (GGA-PBE) of a relaxed AlVZn crystal.

extended XYZ file:
```
3
Lattice="-1.863 1.920 0.384 -1.958 -1.841 -0.291 2.032 -1.091 5.795" Properties=species:S:1:pos:R:3 pbc="T T T"
Al -1.871 -0.300 1.936
Zn 0.081 -0.707 3.928
V 0.001 -0.004 0.025
```

## Properties
SG: I4mm
V, A^3/atom: 14.460
Energy of formation from the pure elements, eV per atom: -0.058
Mass density, g/cm3: 5.49
Magnetization, μB/f.u.: 0.00
Electronic total energy, eV per cell: -14.3

The following is a DFT calculation (GGA-PBE) of a relaxed Sc2HSe crystal.

extended XYZ file:
```
4
Lattice="-0.679 -6.034 3.666 0.137 -7.089 0.176 2.865 -5.995 2.483" Properties=species:S:1:pos:R:3 pbc="T T T"
Sc 2.117 -17.416 5.762
Sc 0.207 -1.702 0.563
Se 1.162 -9.559 3.162
H 0.000 0.000 0.000
```

## Properties
SG: R-3m
V, A^3/atom: 20.428
Mass density, g/cm3: 3.45
Magnetization, μB/f.u.: 0.00
Electronic total energy, eV per cell: -22.2

The following is a DFT calculation (GGA-PBE) of a relaxed SmY4Th5 crystal.

extended XYZ file:
```
10
Lattice="3.513 0.000 -0.765 -0.137 7.100 -0.628 0.954 -0.705 12.821" Properties=species:S:1:pos:R:3 pbc="T T T"
Y 3.828 4.356 9.123
Th 2.757 3.988 4.209
Y 1.499 5.951 6.879
Th 0.436 5.479 1.999
Y 2.831 0.444 4.549
Th 3.894 0.916 9.428
Th 1.573 2.407 7.218
Th 1.688 3.550 -0.697
Sm 1.756 0.000 -0.383
Y 0.502 2.039 2.304
```

## Properties
SG: C2/m
V, A^3/atom: 32.333
Energy of formation from the pure elements, eV per atom: 0.037
Mass density, g/cm3: 8.56
Magnetization, μB/f.u.: 0.00
Electronic total energy, eV per cell: -67.3

The following is a DFT calculation (GGA-PBE) of a relaxed La2ThSn3Rh4 crystal.

extended XYZ file:
```
10
Lattice="4.585 0.000 0.000 0.000 4.585 0.000 0.000 0.000 11.164" Properties=species:S:1:pos:R:3 pbc="T T T"
Rh 0.000 0.000 0.000
Sn 2.293 0.000 9.780
Sn 0.000 2.293 1.384
La 2.293 0.000 2.489
Th 2.293 2.293 5.582
Rh 2.293 0.000 7.162
Sn 0.000 0.000 5.582
Rh 2.293 2.293 0.000
La 0.000 2.293 8.676
Rh 0.000 2.293 4.002
```

## Properties
SG: P-4m2
V, A^3/atom: 23.473
Energy of formation from the pure elements, eV per atom: -0.786
Mass density, g/cm3: 9.04
Magnetization, μB/f.u.: 0.00
Electronic total energy, eV per cell: -66.5

The following is a DFT calculation (GGA-PBE) of a relaxed Tm2Ni3B6 crystal.

extended XYZ file:
```
11
Lattice="-4.915 -0.033 -3.005 -1.792 -3.471 4.234 -1.106 2.741 1.779" Properties=species:S:1:pos:R:3 pbc="T T T"
B -5.215 -1.828 2.920
B -3.152 0.012 1.366
Ni -1.528 -0.798 0.280
B -1.658 0.030 2.268
Ni -0.553 1.370 0.889
Tm -2.652 -2.524 2.240
Ni -5.179 -2.706 0.949
Tm -4.055 -0.980 -1.011
B -2.598 1.065 0.088
B -4.661 -0.776 1.642
B -6.155 -0.793 0.740
```

## Properties
SG: Cmmm
V, A^3/atom: 10.338
Energy of formation from the pure elements, eV per atom: -0.592
Mass density, g/cm3: 8.45
Magnetization, μB/f.u.: 0.00
Electronic total energy, eV per cell: -72.9

The following is a DFT calculation (GGA-PBE) of a relaxed Na12Sr16Ag crystal.

extended XYZ file:
```
29
Lattice="-11.200 -0.620 -4.100 7.288 -5.598 -7.628 0.587 -5.406 10.703" Properties=species:S:1:pos:R:3 pbc="T T T"
Na 1.264 -7.310 7.295
Sr -5.910 -6.543 -5.080
Sr 0.039 -3.978 -6.417
Na -7.220 -5.896 4.177
Na -3.107 -6.154 -7.600
Na -8.314 -3.616 -4.959
Sr -3.510 -9.636 -4.799
Sr -3.902 -6.224 -11.666
Na 5.355 -7.590 -4.647
Sr -4.171 -2.844 -5.614
Na 3.219 -6.721 -7.160
Sr 1.541 -6.886 0.696
Sr -0.795 -5.570 3.691
Sr -6.511 -4.124 -8.835
Na -2.055 -6.417 7.928
Na -0.838 -8.409 -2.130
Sr 0.189 -5.928 -10.113
Sr 3.216 -5.834 4.312
Na -9.588 -3.567 -1.796
Na -2.028 -8.462 1.310
Sr -5.451 -4.009 -1.949
Sr -3.933 -3.908 5.676
Ag -2.468 -6.108 -4.315
Na -4.143 -7.519 -1.499
Sr -0.177 -8.087 -6.174
Sr -4.343 -5.302 1.819
Sr -1.372 -4.369 -1.025
Na 4.376 -9.018 1.964
Sr 1.763 -5.952 -3.326
```

## Properties
SG: Cm
V, A^3/atom: 45.936
Energy of formation from the pure elements, eV per atom: 0.023
Mass density, g/cm3: 2.23
Magnetization, μB/f.u.: 0.00
Electronic total energy, eV per cell: -44.9

The following is a DFT calculation (GGA-PBE) of a relaxed Li4Pd7Pt crystal.

extended XYZ file:
```
12
Lattice="-3.936 -1.856 2.132 1.217 -6.629 1.984 0.774 -0.663 6.360" Properties=species:S:1:pos:R:3 pbc="T T T"
Li -0.792 -2.869 1.546
Pd -1.655 -7.664 6.795
Li -0.638 -5.813 4.775
Pd -2.384 -3.476 3.586
Li -1.306 -3.335 5.700
Pd -1.968 -0.928 1.066
Pd 0.440 -5.673 6.889
Pt 0.000 0.000 0.000
Li -1.152 -6.279 8.929
Pd -2.555 -4.988 7.462
Pd 0.611 -4.160 3.014
Pd -0.289 -1.485 3.681
```

## Properties
SG: C2/m
V, A^3/atom: 15.127
Energy of formation from the pure elements, eV per atom: -0.075
Mass density, g/cm3: 8.85
Magnetization, μB/f.u.: 0.01
Electronic total energy, eV per cell: -50.9